# ZrTaTc (SCAN, PBEsol geometry)
# - E_form: -0.3607 eV/atom
# - Energy above the most stable polymorph in this dataset: 0 meV/atom
data_ZrTaTc
_cell_length_a 3.209
_cell_length_b 3.209
_cell_length_c 10.131
_cell_angle_alpha 90.00
_cell_angle_beta 90.00
_cell_angle_gamma 90.00
_symmetry_space_group_name_H-M 'I 4 m m'
_symmetry_Int_Tables_number 107
_symmetry_space_group_name_Hall 'I 4 -2'
loop_
_atom_site_label
_atom_site_type_symbol
_atom_site_fract_x
_atom_site_fract_y
_atom_site_fract_z
Zr1 Zr 0.000 0.000 0.000
Ta1 Ta 0.000 0.000 0.690
Tc1 Tc 0.000 0.000 0.332